[1]
ErTaPO (PBE, optimized geometry); ρ = 10.36 g/cm³; distance to the lowest polymorph of the same formula = 174 meV/atom; magnetization = 0.0 μB per cell; SG = Pmc2_1
1.0
4.131 0.000 0.000
0.000 4.754 0.000
0.000 0.000 6.448
Er Ta P O
2 2 2 2
Direct
0.000 0.164 0.000
0.000 0.836 0.500
0.500 0.369 0.351
0.500 0.631 0.851
0.500 0.136 0.703
0.500 0.864 0.203
0.000 0.372 0.347
0.000 0.628 0.847

[2]
TbTm2Al2Cd3In (PBE, optimized geometry); ρ = 7.99 g/cm³; E = -3.323 eV/atom; magnetization = 0.0 μB per cell; SG = Amm2
1.0
4.540 0.000 0.000
0.000 6.321 3.633
0.000 -6.321 3.633
Tb Tm Al Cd In
1 2 2 3 1
Direct
0.000 0.000 0.000
0.000 0.126 0.563
0.000 0.563 0.126
0.500 0.231 0.895
0.500 0.895 0.231
0.500 0.308 0.308
0.500 0.563 0.819
0.500 0.819 0.563
0.000 0.561 0.561

[3]
NaPrLu (PBE, optimized geometry); ρ = 5.26 g/cm³; distance to the lowest polymorph of the same formula = 0 meV/atom; magnetization = 1.2 μB per cell; SG = F-43m
1.0
7.534 0.000 0.000
0.000 7.534 0.000
0.000 0.000 7.534
Na Pr Lu
4 4 4
Direct
0.000 0.000 0.000
0.000 0.500 0.500
0.500 0.000 0.500
0.500 0.500 0.000
0.250 0.250 0.250
0.250 0.750 0.750
0.750 0.250 0.750
0.750 0.750 0.250
0.250 0.250 0.750
0.250 0.750 0.250
0.750 0.250 0.250
0.750 0.750 0.750

[4]
SmBeO3 (PBE, optimized geometry); ρ = 7.49 g/cm³; E = -7.130 eV/atom; magnetization = 2.0 μB per cell; SG = R-3c
1.0
2.535 1.464 4.127
-2.535 1.464 4.127
0.000 -2.928 4.127
Sm Be O
2 2 6
Direct
0.250 0.250 0.250
0.750 0.750 0.750
0.000 0.000 0.000
0.500 0.500 0.500
0.245 0.750 0.255
0.250 0.745 0.755
0.255 0.245 0.750
0.745 0.755 0.250
0.750 0.255 0.245
0.755 0.250 0.745

[5]
Sc3Re2Si3 (PBE, optimized geometry); ρ = 7.03 g/cm³; distance to the lowest polymorph of the same formula = 32 meV/atom; magnetization = 0.0 μB per cell; SG = C2
1.0
9.667 -2.646 0.000
9.667 2.646 0.000
-8.357 0.000 10.925
Sc Re Si
12 8 12
Direct
0.069 0.069 0.387
0.141 0.608 0.792
0.156 0.673 0.092
0.175 0.098 0.734
0.327 0.844 0.908
0.353 0.326 0.395
0.392 0.859 0.208
0.590 0.086 0.896
0.674 0.647 0.605
0.902 0.825 0.266
0.914 0.410 0.104
0.931 0.931 0.613
0.226 0.280 0.021
0.453 0.022 0.468
0.472 0.458 0.323
0.542 0.528 0.677
0.714 0.239 0.834
0.720 0.774 0.979
0.761 0.286 0.166
0.978 0.547 0.532
0.002 0.998 0.000
0.021 0.329 0.318
0.235 0.201 0.627
0.255 0.745 0.500
0.394 0.392 0.634
0.495 0.505 0.000
0.608 0.606 0.366
0.632 0.137 0.130
0.671 0.979 0.682
0.763 0.237 0.500
0.799 0.765 0.373
0.863 0.368 0.870

[6]
HoTe3PSe (PBE, optimized geometry); ρ = 5.16 g/cm³; E = -4.348 eV/atom; magnetization = 0.0 μB per cell; SG = P-1
1.0
7.125 0.000 0.000
1.092 7.380 0.000
0.390 0.359 8.058
Ho Te P Se
2 6 2 2
Direct
0.205 0.209 0.063
0.795 0.791 0.937
0.070 0.025 0.749
0.125 0.513 0.768
0.386 0.781 0.107
0.614 0.219 0.893
0.875 0.487 0.232
0.930 0.975 0.251
0.320 0.760 0.808
0.680 0.240 0.192
0.412 0.266 0.342
0.588 0.734 0.658

[7]
SrNiAsAu (PBE, optimized geometry); ρ = 8.45 g/cm³; distance to the lowest polymorph of the same formula = 0 meV/atom; magnetization = 0.5 μB per cell; SG = F-43m
1.0
6.901 0.000 0.000
0.000 6.901 0.000
0.000 0.000 6.901
Sr Ni As Au
4 4 4 4
Direct
0.000 0.000 0.000
0.000 0.500 0.500
0.500 0.000 0.500
0.500 0.500 0.000
0.000 0.000 0.500
0.000 0.500 0.000
0.500 0.000 0.000
0.500 0.500 0.500
0.250 0.250 0.750
0.250 0.750 0.250
0.750 0.250 0.250
0.750 0.750 0.750
0.250 0.250 0.250
0.250 0.750 0.750
0.750 0.250 0.750
0.750 0.750 0.250

[8]
RbHgNO (PBE, optimized geometry); ρ = 6.49 g/cm³; distance to the lowest polymorph of the same formula = 432 meV/atom; SG = P4/nmm
1.0
4.820 0.000 0.000
0.000 4.820 0.000
0.000 0.000 6.964
Rb Hg N O
2 2 2 2
Direct
0.250 0.750 0.000
0.750 0.250 0.000
0.250 0.250 0.442
0.750 0.750 0.558
0.250 0.250 0.132
0.750 0.750 0.868
0.250 0.750 0.500
0.750 0.250 0.500

[9]
Hf4InHgB2 (PBE, optimized geometry); ρ = 11.56 g/cm³; E = -7.423 eV/atom; magnetization = 0.0 μB per cell; SG = P-6m2
1.0
3.401 0.000 0.000
-1.700 2.945 0.000
0.000 0.000 15.080
Hf In Hg B
4 1 1 2
Direct
0.000 0.000 0.162
0.000 0.000 0.838
0.667 0.333 0.332
0.667 0.333 0.668
0.000 0.000 0.500
0.667 0.333 0.000
0.333 0.667 0.248
0.333 0.667 0.752

[10]
CuGeAuSe3 (PBE, optimized geometry); ρ = 7.76 g/cm³; E = -3.633 eV/atom; SG = Cmcm
1.0
1.831 -7.125 0.000
1.831 7.125 0.000
0.000 0.000 9.350
Cu Ge Au Se
2 2 2 6
Direct
0.034 0.966 0.750
0.966 0.034 0.250
0.262 0.738 0.250
0.738 0.262 0.750
0.500 0.500 0.000
0.500 0.500 0.500
0.161 0.839 0.568
0.161 0.839 0.932
0.417 0.583 0.750
0.583 0.417 0.250
0.839 0.161 0.068
0.839 0.161 0.432

[11]
Sc6Al2Pt (PBE, optimized geometry); ρ = 4.47 g/cm³; E = -6.240 eV/atom; magnetization = 1.6 μB per cell; SG = P-62m
1.0
8.050 0.000 0.000
-4.025 6.971 0.000
0.000 0.000 3.433
Sc Al Pt
6 2 1
Direct
0.000 0.261 0.000
0.000 0.611 0.500
0.261 0.000 0.000
0.389 0.389 0.500
0.611 0.000 0.500
0.739 0.739 0.000
0.333 0.667 0.000
0.667 0.333 0.000
0.000 0.000 0.500

[12]
Hf3Fe4Si2Ge2 (PBE, optimized geometry); ρ = 9.95 g/cm³; E = -8.163 eV/atom; magnetization = 4.5 μB per cell; SG = Immm
1.0
-1.905 3.279 6.414
1.905 -3.279 6.414
1.905 3.279 -6.414
Hf Fe Si Ge
3 4 2 2
Direct
0.000 0.000 0.000
0.371 0.871 0.500
0.629 0.129 0.500
0.014 0.320 0.693
0.373 0.680 0.693
0.627 0.320 0.307
0.986 0.680 0.307
0.218 0.218 0.000
0.782 0.782 0.000
0.300 0.500 0.800
0.700 0.500 0.200